The following is a DFT calculation (PBE) of a relaxed Be2CoReB crystal.

Values from the calculation:
formation enthalpy at 0 K: 125.6 kJ/mol of atoms

a b c (Å): 3.6787 3.6787 4.5255
angles (deg): 90.00 90.00 90.00
Fractional coordinates of all 5 atoms:
Be (0.0000, 0.5000, 0.0000)
Be (0.5000, 0.0000, 0.0000)
Co (0.0000, 0.0000, 0.0000)
Re (0.0000, 0.0000, 0.5000)
B (0.5000, 0.5000, 0.5000)

=====

The following is a DFT calculation (PBE) of a relaxed BeCoBRu crystal.

Values from the calculation:
formation enthalpy at 0 K: -19.2 kJ/mol of atoms

a b c (Å): 3.7331 3.7331 3.7331
angles (deg): 60.00 60.00 60.00
Fractional coordinates of all 4 atoms:
Be (0.0000, 0.0000, 0.0000)
Co (0.7500, 0.7500, 0.7500)
B (0.5000, 0.5000, 0.5000)
Ru (0.2500, 0.2500, 0.2500)

=====

The following is a DFT calculation (PBE) of a relaxed Sc2Be2Co5B crystal.

Values from the calculation:
formation enthalpy at 0 K: -21.5 kJ/mol of atoms

a b c (Å): 8.7685 8.7685 2.8414
angles (deg): 90.00 90.00 90.00
Fractional coordinates of all 20 atoms:
Sc (0.1740, 0.3260, 0.0000)
Sc (0.3260, 0.8260, 0.0000)
Sc (0.6740, 0.1740, 0.0000)
Sc (0.8260, 0.6740, 0.0000)
Be (0.1267, 0.6267, 0.0000)
Be (0.3733, 0.1267, 0.0000)
Be (0.6267, 0.8733, 0.0000)
Be (0.8733, 0.3733, 0.0000)
Co (0.0000, 0.5000, 0.5000)
Co (0.0595, 0.8075, 0.5000)
Co (0.1925, 0.0595, 0.5000)
Co (0.3075, 0.5595, 0.5000)
Co (0.4405, 0.3075, 0.5000)
Co (0.5000, 0.0000, 0.5000)
Co (0.5595, 0.6925, 0.5000)
Co (0.6925, 0.4405, 0.5000)
Co (0.8075, 0.9405, 0.5000)
Co (0.9405, 0.1925, 0.5000)
B (0.0000, 0.0000, 0.0000)
B (0.5000, 0.5000, 0.0000)

=====

The following is a DFT calculation (PBE) of a relaxed ScBe2CoB crystal.

Values from the calculation:
formation enthalpy at 0 K: -32.3 kJ/mol of atoms

a b c (Å): 5.2268 5.2268 5.2268
angles (deg): 143.40 141.42 54.23
Fractional coordinates of all 5 atoms:
Sc (0.0000, 0.0000, 0.0000)
Be (0.6176, 0.6176, 0.0000)
Be (0.7726, 0.2726, 0.5000)
Co (0.2643, 0.7643, 0.5000)
B (0.3951, 0.3951, 0.0000)

=====

The following is a DFT calculation (PBE) of a relaxed Ta2BeCoB crystal.

Values from the calculation:
formation enthalpy at 0 K: 2.1 kJ/mol of atoms

a b c (Å): 4.3530 4.3530 3.4375
angles (deg): 90.00 90.00 90.00
Fractional coordinates of all 5 atoms:
Ta (0.0000, 0.5000, 0.0000)
Ta (0.5000, 0.0000, 0.0000)
Be (0.0000, 0.0000, 0.5000)
Co (0.5000, 0.5000, 0.5000)
B (0.0000, 0.0000, 0.0000)

=====

The following is a DFT calculation (PBE) of a relaxed ThBeCo3B crystal.

Values from the calculation:
formation enthalpy at 0 K: -24.3 kJ/mol of atoms

a b c (Å): 6.0397 6.0397 5.4398
angles (deg): 90.00 90.00 128.32
Fractional coordinates of all 12 atoms:
Th (0.2381, 0.7619, 0.7500)
Th (0.7619, 0.2381, 0.2500)
Be (0.1155, 0.8845, 0.2500)
Be (0.8845, 0.1155, 0.7500)
Co (0.2419, 0.2419, 0.0000)
Co (0.2419, 0.2419, 0.5000)
Co (0.3183, 0.6817, 0.2500)
Co (0.6817, 0.3183, 0.7500)
Co (0.7581, 0.7581, 0.0000)
Co (0.7581, 0.7581, 0.5000)
B (0.4981, 0.5019, 0.7500)
B (0.5019, 0.4981, 0.2500)

=====

The following is a DFT calculation (PBE) of a relaxed Th2BeCo12B3 crystal.

Values from the calculation:
formation enthalpy at 0 K: 7.7 kJ/mol of atoms

a b c (Å): 6.4533 6.4533 6.4533
angles (deg): 71.02 71.02 71.02
Fractional coordinates of all 18 atoms:
Th (0.1212, 0.1212, 0.1212)
Th (0.8788, 0.8788, 0.8788)
Be (0.5000, 0.5000, 0.5000)
Co (0.1457, 0.6210, 0.6210)
Co (0.2107, 0.2107, 0.6153)
Co (0.2107, 0.6153, 0.2107)
Co (0.3790, 0.3790, 0.8543)
Co (0.3790, 0.8543, 0.3790)
Co (0.3847, 0.7893, 0.7893)
Co (0.6153, 0.2107, 0.2107)
Co (0.6210, 0.1457, 0.6210)
Co (0.6210, 0.6210, 0.1457)
Co (0.7893, 0.3847, 0.7893)
Co (0.7893, 0.7893, 0.3847)
Co (0.8543, 0.3790, 0.3790)
B (0.0000, 0.5000, 0.5000)
B (0.5000, 0.0000, 0.5000)
B (0.5000, 0.5000, 0.0000)

=====

The following is a DFT calculation (PBE) of a relaxed Tm2BeCo6B crystal.

Values from the calculation:
formation enthalpy at 0 K: -20.1 kJ/mol of atoms

a b c (Å): 5.6275 5.6275 5.6275
angles (deg): 60.00 60.00 60.00
Fractional coordinates of all 10 atoms:
Tm (0.2500, 0.2500, 0.2500)
Tm (0.7500, 0.7500, 0.7500)
Be (0.0000, 0.0000, 0.0000)
Co (0.2570, 0.2570, 0.7430)
Co (0.2570, 0.7430, 0.2570)
Co (0.2570, 0.7430, 0.7430)
Co (0.7430, 0.2570, 0.2570)
Co (0.7430, 0.2570, 0.7430)
Co (0.7430, 0.7430, 0.2570)
B (0.5000, 0.5000, 0.5000)

=====

The following is a DFT calculation (PBE) of a relaxed U2BeCo5B2 crystal.

Values from the calculation:
formation enthalpy at 0 K: -20.8 kJ/mol of atoms

a b c (Å): 8.8419 8.8419 3.0260
angles (deg): 90.00 90.00 90.00
Fractional coordinates of all 20 atoms:
U (0.1801, 0.3199, 0.0000)
U (0.3199, 0.8199, 0.0000)
U (0.6801, 0.1801, 0.0000)
U (0.8199, 0.6801, 0.0000)
Be (0.0000, 0.0000, 0.0000)
Be (0.5000, 0.5000, 0.0000)
Co (0.0000, 0.5000, 0.5000)
Co (0.0672, 0.7794, 0.5000)
Co (0.2206, 0.0672, 0.5000)
Co (0.2794, 0.5672, 0.5000)
Co (0.4328, 0.2794, 0.5000)
Co (0.5000, 0.0000, 0.5000)
Co (0.5672, 0.7206, 0.5000)
Co (0.7206, 0.4328, 0.5000)
Co (0.7794, 0.9328, 0.5000)
Co (0.9328, 0.2206, 0.5000)
B (0.1180, 0.6180, 0.0000)
B (0.3820, 0.1180, 0.0000)
B (0.6180, 0.8820, 0.0000)
B (0.8820, 0.3820, 0.0000)

=====

The following is a DFT calculation (PBE) of a relaxed BeCoB2W crystal.

Values from the calculation:
formation enthalpy at 0 K: 80.2 kJ/mol of atoms

a b c (Å): 3.6747 3.6747 3.7548
angles (deg): 90.00 90.00 90.00
Fractional coordinates of all 5 atoms:
Be (0.0000, 0.0000, 0.0000)
Co (0.0000, 0.0000, 0.5000)
B (0.0000, 0.5000, 0.5000)
B (0.5000, 0.0000, 0.5000)
W (0.5000, 0.5000, 0.0000)

=====

The following is a DFT calculation (PBE) of a relaxed YBe2CoB crystal.

Values from the calculation:
formation enthalpy at 0 K: -21.0 kJ/mol of atoms

a b c (Å): 5.3939 5.3939 5.3939
angles (deg): 141.80 141.54 55.32
Fractional coordinates of all 5 atoms:
Y (0.0000, 0.0000, 0.0000)
Be (0.6320, 0.6320, 0.0000)
Be (0.7660, 0.2660, 0.5000)
Co (0.2638, 0.7638, 0.5000)
B (0.3737, 0.3737, 0.0000)

=====

The following is a DFT calculation (PBE) of a relaxed ZrBe2CoB crystal.

Values from the calculation:
formation enthalpy at 0 K: -38.7 kJ/mol of atoms

a b c (Å): 5.3121 5.3121 5.3121
angles (deg): 144.50 141.90 53.06
Fractional coordinates of all 5 atoms:
Zr (0.0000, 0.0000, 0.0000)
Be (0.6209, 0.6209, 0.0000)
Be (0.7731, 0.2731, 0.5000)
Co (0.2650, 0.7650, 0.5000)
B (0.3994, 0.3994, 0.0000)